Record 1
A plane-wave DFT calculation with GGA-PBEsol was carried out for MnAsCl after structural relaxation.

a = 3.509 Å, b = 5.003 Å, c = 13.074 Å
α = 90.00°, β = 90.00°, γ = 90.00°
Positions (direct):
Mn1 0.000 0.000 0.000
Mn2 0.000 0.500 0.500
Mn3 0.500 0.000 0.500
Mn4 0.500 0.500 0.000
As1 0.000 0.000 0.630
As2 0.000 0.500 0.130
As3 0.500 0.000 0.130
As4 0.500 0.500 0.630
Cl1 0.000 0.000 0.377
Cl2 0.000 0.500 0.877
Cl3 0.500 0.000 0.877
Cl4 0.500 0.500 0.377

Record 2
A plane-wave DFT calculation with GGA-PBEsol was carried out for MnAs2Cl after structural relaxation.

a = 3.524 Å, b = 5.438 Å, c = 8.438 Å
α = 90.00°, β = 90.00°, γ = 90.00°
Positions (direct):
Mn1 0.000 0.000 0.000
Mn2 0.500 0.500 0.000
As1 0.000 0.000 0.561
As2 0.000 0.500 0.778
As3 0.500 0.000 0.778
As4 0.500 0.500 0.561
Cl1 0.000 0.500 0.189
Cl2 0.500 0.000 0.189

Record 3
A plane-wave DFT calculation with GGA-PBEsol was carried out for MnAs2Cl after structural relaxation.

a = 3.230 Å, b = 3.230 Å, c = 7.034 Å
α = 90.00°, β = 90.00°, γ = 90.00°
Positions (direct):
Mn1 0.000 0.000 0.000
As1 0.000 0.000 0.392
As2 0.500 0.500 0.198
Cl1 0.500 0.500 0.782

We obtain total magnetization values of 13.09, 8.90, 3.52 μB per cell for the records listed above, in that order.
We obtain DOS(E_F) values of 5.258, 4.039, 1.790 states/eV/cell for the records listed above, in that order.
We obtain polymorph energy (0 for the lowest one) values of 0.000, 0.122, 0.035 eV per atom for the records listed above, in that order.